# 1
Density functional theory data (meta-GGA SCAN) for MgSe at its PBEsol-relaxed geometry.

```
2
Lattice="3.856 0.000 0.000 1.928 3.340 0.000 1.928 1.113 3.149" Properties=species:S:1:pos:R:3 pbc="T T T"
Mg 0.000 0.000 0.000
Se 3.856 2.226 1.574
```

* crystal system: cubic
* spin magnetization: 0.00 μB per formula unit
* formation energy (no corrections): -1.434 eV per atom

=====

# 2
Density functional theory data (meta-GGA SCAN) for CaSb2Rh2 at its PBEsol-relaxed geometry.

```
5
Lattice="-3.161 -2.387 -2.513 3.316 -3.072 -1.254 -1.112 0.036 5.743" Properties=species:S:1:pos:R:3 pbc="T T T"
Sb 1.141 -2.882 1.302
Sb -2.098 -2.540 0.673
Ca 0.000 0.000 0.000
Rh -0.756 -1.969 2.821
Rh -0.201 -3.454 -0.845
```

* crystal system: tetragonal
* spin magnetization: 0.00 μB per formula unit
* formation energy (no corrections): -0.604 eV per atom

=====

# 3
Density functional theory data (meta-GGA SCAN) for AsOsBr2 at its PBEsol-relaxed geometry.

```
4
Lattice="3.235 0.000 0.000 0.000 4.686 0.098 0.000 -0.103 4.686" Properties=species:S:1:pos:R:3 pbc="T T T"
As 1.618 2.291 2.392
Os 1.618 0.000 0.000
Br 0.000 2.343 0.049
Br 0.000 -0.052 2.343
```

* excess energy over the best structure of this formula in the dataset: 1063 meV/atom
* crystal system: orthorhombic
* spin magnetization: 0.00 μB per formula unit
* formation energy (no corrections): 1.553 eV per atom

=====

# 4
Density functional theory data (meta-GGA SCAN) for NbPt3I at its PBEsol-relaxed geometry.

```
5
Lattice="-1.505 -0.341 -4.589 -4.430 -1.201 1.541 -1.247 4.678 0.062" Properties=species:S:1:pos:R:3 pbc="T T T"
I 0.000 0.000 0.000
Nb -3.591 1.568 -1.493
Pt -2.215 -0.601 0.771
Pt -0.624 2.339 0.031
Pt -0.752 -0.170 -2.295
```

* crystal system: cubic
* spin magnetization: 3.14 μB per formula unit
* formation energy (no corrections): 1.330 eV per atom

=====

# 5
Density functional theory data (meta-GGA SCAN) for K2MnCl6 at its PBEsol-relaxed geometry.

```
9
Lattice="-2.142 3.381 5.469 1.456 -2.315 6.200 4.449 3.310 3.895" Properties=species:S:1:pos:R:3 pbc="T T T"
K 2.823 3.282 11.673
K 0.941 1.094 3.891
Mn 0.000 0.000 0.000
Cl -0.247 2.819 6.558
Cl 4.011 1.557 9.006
Cl 1.656 -0.195 6.945
Cl 3.240 2.782 5.725
Cl 2.107 4.571 8.619
Cl 0.523 1.594 9.839
```

* crystal system: cubic
* spin magnetization: 3.03 μB per formula unit
* formation energy (no corrections): -1.669 eV per atom

=====

# 6
Density functional theory data (meta-GGA SCAN) for BeNiTe2N at its PBEsol-relaxed geometry.

```
5
Lattice="3.034 0.000 0.000 0.000 5.133 0.000 0.000 0.000 5.133" Properties=species:S:1:pos:R:3 pbc="T T T"
Ni 1.517 2.566 2.566
Te 0.000 0.000 2.566
Te 0.000 2.566 0.000
Be 0.000 0.000 0.000
N 1.517 0.000 0.000
```

* crystal system: tetragonal
* spin magnetization: 0.00 μB per formula unit
* formation energy (no corrections): 0.503 eV per atom

=====

- spin magnetization of number 1 (MgSe)?
  0.00 μB per formula unit

=====

- Number 6 is which compound?
  BeNiTe2N